Entry 1:
VASP calculation (PBE) on a relaxed TlSiTeN2 crystal. Values from VASP.

The calculation puts the excess energy over the best structure of this formula in the dataset at 94.9 kJ/mol of atoms. The total DFT energy (no corrections) is -17.9 eV per cell. For the energy relative to the elements, uncorrected, the calculation gives 187 kJ per mole of atoms. Its space group is P4/mmm (123). The calculation puts the volume at 23.94 Å³ per atom.

```
&SYSTEM
  ibrav = 0, nat = 5, ntyp = 4
/
ATOMIC_SPECIES
Tl 204.38 Tl.upf
Te 127.60 Te.upf
Si 28.09 Si.upf
N 14.01 N.upf
CELL_PARAMETERS angstrom
-2.805 -1.017 3.163
2.032 -3.800 0.580
3.828 2.697 4.262
ATOMIC_POSITIONS angstrom
Tl 0.000 0.000 0.000
Te 1.914 1.349 2.131
Si 1.528 -1.060 4.002
N 1.016 -1.900 0.290
N -1.402 -0.508 1.581
```

---

Entry 2:
VASP calculation (PBE) on a relaxed VSiTeN2 crystal. Values from VASP.

The calculation puts the excess energy over the best structure of this formula in the dataset at 0.0 kJ/mol of atoms. The total DFT energy (no corrections) is -31.3 eV per cell. For the energy relative to the elements, uncorrected, the calculation gives 59 kJ per mole of atoms. Its space group is P4/mmm (123). The calculation puts the volume at 16.16 Å³ per atom.

```
&SYSTEM
  ibrav = 0, nat = 5, ntyp = 4
/
ATOMIC_SPECIES
N 14.01 N.upf
Si 28.09 Si.upf
Te 127.60 Te.upf
V 50.94 V.upf
CELL_PARAMETERS angstrom
3.838 0.000 0.000
0.000 3.838 0.000
0.000 0.000 5.483
ATOMIC_POSITIONS angstrom
N 0.000 1.919 0.000
N 1.919 0.000 0.000
Si 1.919 1.919 2.742
Te 0.000 0.000 2.742
V 0.000 0.000 0.000
```

---

Entry 3:
VASP calculation (PBE) on a relaxed VSiTeN2 crystal. Values from VASP.

The calculation puts the excess energy over the best structure of this formula in the dataset at 27.7 kJ/mol of atoms. The total DFT energy (no corrections) is -29.9 eV per cell. For the energy relative to the elements, uncorrected, the calculation gives 86 kJ per mole of atoms. Its space group is P4/mmm (123). The calculation puts the volume at 17.02 Å³ per atom.

```
&SYSTEM
  ibrav = 0, nat = 5, ntyp = 4
/
ATOMIC_SPECIES
N 14.01 N.upf
Si 28.09 Si.upf
Te 127.60 Te.upf
V 50.94 V.upf
CELL_PARAMETERS angstrom
-1.383 -0.578 3.238
0.466 -3.512 -0.428
6.097 0.481 2.690
ATOMIC_POSITIONS angstrom
N 0.233 -1.756 -0.214
N -0.692 -0.289 1.619
Si 0.000 0.000 0.000
Te 3.048 0.240 1.345
V 2.590 -1.805 2.750
```

---

Entry 4:
VASP calculation (PBE) on a relaxed VSiTe2N crystal. Values from VASP.

The calculation puts the excess energy over the best structure of this formula in the dataset at 0.0 kJ/mol of atoms. The total DFT energy (no corrections) is -27.7 eV per cell. For the energy relative to the elements, uncorrected, the calculation gives 29 kJ per mole of atoms. Its space group is P4/mmm (123). The calculation puts the volume at 20.89 Å³ per atom.

```
&SYSTEM
  ibrav = 0, nat = 5, ntyp = 4
/
ATOMIC_SPECIES
N 14.01 N.upf
Si 28.09 Si.upf
Te 127.60 Te.upf
V 50.94 V.upf
CELL_PARAMETERS angstrom
5.369 0.000 0.000
0.000 5.369 0.000
0.000 0.000 3.624
ATOMIC_POSITIONS angstrom
N 0.000 0.000 1.812
Si 2.684 2.684 1.812
Te 0.000 2.684 0.000
Te 2.684 0.000 0.000
V 0.000 0.000 0.000
```

---

Entry 5:
VASP calculation (PBE) on a relaxed VSiTe2N crystal. Values from VASP.

The calculation puts the excess energy over the best structure of this formula in the dataset at 7.0 kJ/mol of atoms. The total DFT energy (no corrections) is -27.3 eV per cell. For the energy relative to the elements, uncorrected, the calculation gives 36 kJ per mole of atoms. Its space group is P4/mmm (123). The calculation puts the volume at 20.07 Å³ per atom.

```
&SYSTEM
  ibrav = 0, nat = 5, ntyp = 4
/
ATOMIC_SPECIES
N 14.01 N.upf
Si 28.09 Si.upf
Te 127.60 Te.upf
V 50.94 V.upf
CELL_PARAMETERS angstrom
-0.044 4.995 2.313
-2.820 -2.006 4.280
2.844 -0.692 1.549
ATOMIC_POSITIONS angstrom
N 1.422 -0.346 0.775
Si 0.000 0.000 0.000
Te -1.410 -1.003 2.140
Te -0.022 2.497 1.156
V -0.010 1.148 4.071
```

---

Entry 6:
VASP calculation (PBE) on a relaxed SiTe2WN crystal. Values from VASP.

The calculation puts the excess energy over the best structure of this formula in the dataset at 32.3 kJ/mol of atoms. The total DFT energy (no corrections) is -28.7 eV per cell. For the energy relative to the elements, uncorrected, the calculation gives 83 kJ per mole of atoms. Its space group is P4/mmm (123). The calculation puts the volume at 19.43 Å³ per atom.

```
&SYSTEM
  ibrav = 0, nat = 5, ntyp = 4
/
ATOMIC_SPECIES
Si 28.09 Si.upf
Te 127.60 Te.upf
W 183.84 W.upf
N 14.01 N.upf
CELL_PARAMETERS angstrom
5.434 0.000 0.000
0.000 5.434 0.000
0.000 0.000 3.289
ATOMIC_POSITIONS angstrom
Si 0.000 0.000 0.000
Te 0.000 2.717 0.000
Te 2.717 0.000 0.000
W 2.717 2.717 1.644
N 0.000 0.000 1.644
```

---

Entry 7:
VASP calculation (PBE) on a relaxed SiTe2WN crystal. Values from VASP.

The calculation puts the excess energy over the best structure of this formula in the dataset at 0.0 kJ/mol of atoms. The total DFT energy (no corrections) is -30.3 eV per cell. For the energy relative to the elements, uncorrected, the calculation gives 51 kJ per mole of atoms. Its space group is P4/mmm (123). The calculation puts the volume at 22.50 Å³ per atom.

```
&SYSTEM
  ibrav = 0, nat = 5, ntyp = 4
/
ATOMIC_SPECIES
Si 28.09 Si.upf
Te 127.60 Te.upf
W 183.84 W.upf
N 14.01 N.upf
CELL_PARAMETERS angstrom
-3.150 3.052 -3.217
-4.291 -3.093 1.268
-0.781 2.287 2.935
ATOMIC_POSITIONS angstrom
Si -4.111 1.123 0.493
Te -2.146 -1.546 0.634
Te -1.575 1.526 -1.609
W 0.000 0.000 0.000
N -0.391 1.144 1.467
```

---

Entry 8:
VASP calculation (PBE) on a relaxed SiTeWN2 crystal. Values from VASP.

The calculation puts the excess energy over the best structure of this formula in the dataset at 0.0 kJ/mol of atoms. The total DFT energy (no corrections) is -34.9 eV per cell. For the energy relative to the elements, uncorrected, the calculation gives 63 kJ per mole of atoms. Its space group is P4/mmm (123). The calculation puts the volume at 17.69 Å³ per atom.

```
&SYSTEM
  ibrav = 0, nat = 5, ntyp = 4
/
ATOMIC_SPECIES
Si 28.09 Si.upf
Te 127.60 Te.upf
W 183.84 W.upf
N 14.01 N.upf
CELL_PARAMETERS angstrom
-3.610 -0.468 -1.564
-0.018 -3.784 1.173
-2.321 1.530 4.900
ATOMIC_POSITIONS angstrom
Si -2.974 -1.361 2.255
Te -1.160 0.765 2.450
W 0.000 0.000 0.000
N -0.009 -1.892 0.587
N -1.805 -0.234 -0.782
```